No. 1
A plane-wave DFT calculation with PBEsol was carried out for an optimized crystal structure of CoIrW.

Cell: 5.6293 5.6293 5.6293 Å, 90.00 90.00 90.00°
Closest atoms and distances in Å follow each position.
Space group F-43m (No. 216)
Unique sites:
Co (0.0000, 0.0000, 0.0000) [4 per cell]  4 W 2.44, 4 Ir 2.44
Ir (0.2500, 0.2500, 0.2500) [4 per cell]  4 Co 2.44
W (0.2500, 0.2500, 0.7500) [4 per cell]  4 Co 2.44

* energy: -9.938 eV per atom
* total magnetization: 0.00 μB per atom

No. 2
A plane-wave DFT calculation with PBEsol was carried out for an optimized crystal structure of CoIrW2.

Cell: 5.3720 7.6378 2.7037 Å, 90.00 90.00 90.00°
Closest atoms and distances in Å follow each position.
Space group Cmmm (No. 65)
Unique sites:
Co (0.0000, 0.0000, 0.0000) [2 per cell]  2 Ir 2.69, 8 W 2.70, 2 Co 2.70
Ir (0.0000, 0.5000, 0.0000) [2 per cell]  2 Co 2.69, 8 W 2.70, 2 Ir 2.70
W (0.2500, 0.2500, 0.5000) [4 per cell]  4 W 2.69-2.70, 4 Co 2.70, 4 Ir 2.70

* total magnetization: 0.00 μB per atom
* energy above the most stable polymorph in this dataset: 31 meV per atom

No. 3
A plane-wave DFT calculation with PBEsol was carried out for an optimized crystal structure of CoIrW2.

Cell: 6.0773 6.0773 6.0773 Å, 90.00 90.00 90.00°
Closest atoms and distances in Å follow each position.
Space group F-43m (No. 216)
Unique sites:
Co (0.0000, 0.0000, 0.0000) [4 per cell]  4 W 2.63, 4 Ir 2.63
Ir (0.2500, 0.2500, 0.7500) [4 per cell]  4 W 2.63, 4 Co 2.63
W (0.0000, 0.0000, 0.5000) [4 per cell]  4 W 2.63, 4 Ir 2.63
W (0.2500, 0.2500, 0.2500) [4 per cell]  4 W 2.63, 4 Co 2.63

* total magnetization: 0.00 μB per atom
* energy above the most stable polymorph in this dataset: 301 meV per atom

Question: Number 2 is which compound?
Answer: CoIrW2